## YHoAlHg (PBE)

Data for YHoAlHg after structural relaxation.

Output
formation energy = -0.42 eV/atom
density of states at the Fermi level = 1.1083 states/eV/atom
crystal system = cubic
total magnetic moment = 0.000 Bohr magnetons per cell

Cell lengths 7.351, 7.351, 7.351 Å; angles 90.00, 90.00, 90.00 degrees
Space group F-43m (No. 216)
Symmetry-distinct sites (fractional):
1 Y 0.000 0.000 0.000
2 Ho 0.000 0.000 0.500
3 Al 0.250 0.250 0.250
4 Hg 0.250 0.250 0.750